1.
Computed, not measured: a relaxed structure of BiNO2F at the GGA-PBE level of DFT.

a b c (Å): 3.875 3.875 3.647
angles (deg): 90.00 90.00 90.00
Atoms (fractional coordinates):
Bi1 0.000 0.000 0.000
N1 0.500 0.500 0.500
O1 0.000 0.500 0.500
O2 0.500 0.000 0.500
F1 0.500 0.500 0.000

formation energy (no corrections) = 0.266 eV/atom

2.
Computed, not measured: a relaxed structure of HoEr6Tm2Sc at the GGA-PBE level of DFT.

a b c (Å): 8.582 8.582 9.321
angles (deg): 93.81 93.81 117.30
Atoms (fractional coordinates):
Ho1 0.023 0.977 0.750
Ho2 0.977 0.023 0.250
Er1 0.009 0.565 0.688
Er2 0.126 0.753 0.056
Er3 0.247 0.874 0.444
Er4 0.292 0.505 0.883
Er5 0.435 0.991 0.812
Er6 0.495 0.708 0.617
Er7 0.505 0.292 0.383
Er8 0.565 0.009 0.188
Er9 0.708 0.495 0.117
Er10 0.753 0.126 0.556
Er11 0.874 0.247 0.944
Er12 0.991 0.435 0.312
Tm1 0.200 0.304 0.547
Tm2 0.304 0.200 0.047
Tm3 0.696 0.800 0.953
Tm4 0.800 0.696 0.453
Sc1 0.412 0.588 0.250
Sc2 0.588 0.412 0.750

ΔH_f (0 K) = 1.3 eV per formula unit

3.
Computed, not measured: a relaxed structure of Li2YZn2Au2 at the GGA-PBE level of DFT.

a b c (Å): 7.842 4.512 7.786
angles (deg): 90.00 109.68 90.00
Atoms (fractional coordinates):
Li1 0.141 0.000 0.423
Li2 0.359 0.500 0.577
Li3 0.641 0.500 0.423
Li4 0.859 0.000 0.577
Y1 0.000 0.000 0.000
Y2 0.500 0.500 0.000
Zn1 0.077 0.500 0.733
Zn2 0.423 0.000 0.267
Zn3 0.577 0.000 0.733
Zn4 0.923 0.500 0.267
Au1 0.241 0.500 0.223
Au2 0.259 0.000 0.777
Au3 0.741 0.000 0.223
Au4 0.759 0.500 0.777

ΔH_f (0 K) = -3.6 eV per formula unit

4.
Computed, not measured: a relaxed structure of TlVHgI6 at the GGA-PBE level of DFT.

a b c (Å): 7.800 7.800 6.706
angles (deg): 90.04 90.04 119.99
Atoms (fractional coordinates):
Tl1 0.000 0.000 0.000
V1 0.667 0.333 0.000
Hg1 0.333 0.667 0.500
I1 0.382 0.041 0.757
I2 0.383 0.340 0.243
I3 0.660 0.042 0.243
I4 0.660 0.617 0.757
I5 0.958 0.340 0.757
I6 0.959 0.618 0.243

formation energy (no corrections) = -0.309 eV/atom

5.
Computed, not measured: a relaxed structure of Cs2TlGa2 at the GGA-PBE level of DFT.

a b c (Å): 7.741 7.741 6.369
angles (deg): 90.00 90.00 90.00
Atoms (fractional coordinates):
Cs1 0.186 0.314 0.000
Cs2 0.314 0.814 0.000
Cs3 0.686 0.186 0.000
Cs4 0.814 0.686 0.000
Tl1 0.000 0.000 0.500
Tl2 0.500 0.500 0.500
Ga1 0.119 0.619 0.500
Ga2 0.381 0.119 0.500
Ga3 0.619 0.881 0.500
Ga4 0.881 0.381 0.500

polymorph energy (0 for the lowest one) = 207 meV/atom
ΔH_f (0 K) = 0.5 eV per formula unit

6.
Computed, not measured: a relaxed structure of InSiRu2 at the GGA-PBE level of DFT.

a b c (Å): 3.195 3.195 6.210
angles (deg): 90.00 90.00 90.00
Atoms (fractional coordinates):
In1 0.000 0.000 0.000
Si1 0.500 0.500 0.678
Ru1 0.000 0.000 0.535
Ru2 0.500 0.500 0.252

formation energy (no corrections) = 0.064 eV/atom

7.
Computed, not measured: a relaxed structure of Y3AlRh at the GGA-PBE level of DFT.

a b c (Å): 5.299 5.299 5.299
angles (deg): 90.00 90.00 90.00
Atoms (fractional coordinates):
Y1 0.000 0.000 0.500
Y2 0.000 0.500 0.000
Y3 0.500 0.000 0.000
Al1 0.500 0.500 0.500
Rh1 0.000 0.000 0.000

polymorph energy (0 for the lowest one) = 0 meV/atom
ΔH_f (0 K) = -1.0 eV per formula unit

8.
Computed, not measured: a relaxed structure of NbPd6Au3 at the GGA-PBE level of DFT.

a b c (Å): 5.295 5.295 7.125
angles (deg): 90.00 90.00 120.00
Atoms (fractional coordinates):
Nb1 0.000 0.000 0.000
Pd1 0.000 0.409 0.819
Pd2 0.000 0.591 0.181
Pd3 0.409 0.000 0.819
Pd4 0.409 0.409 0.181
Pd5 0.591 0.000 0.181
Pd6 0.591 0.591 0.819
Au1 0.000 0.000 0.500
Au2 0.333 0.667 0.500
Au3 0.667 0.333 0.500

polymorph energy (0 for the lowest one) = 183 meV/atom
ΔH_f (0 K) = -0.3 eV per formula unit

9.
Computed, not measured: a relaxed structure of CsIrI2 at the GGA-PBE level of DFT.

a b c (Å): 8.712 8.712 7.829
angles (deg): 90.00 90.00 90.00
Atoms (fractional coordinates):
Cs1 0.000 0.000 0.000
Cs2 0.000 0.500 0.250
Cs3 0.500 0.000 0.750
Cs4 0.500 0.500 0.500
Ir1 0.000 0.000 0.500
Ir2 0.000 0.500 0.750
Ir3 0.500 0.000 0.250
Ir4 0.500 0.500 0.000
I1 0.132 0.250 0.625
I2 0.250 0.632 0.875
I3 0.250 0.868 0.375
I4 0.368 0.250 0.125
I5 0.632 0.750 0.125
I6 0.750 0.132 0.375
I7 0.750 0.368 0.875
I8 0.868 0.750 0.625

formation energy (no corrections) = -0.188 eV/atom
polymorph energy (0 for the lowest one) = 0 meV/atom

10.
Computed, not measured: a relaxed structure of Sr3VTc at the GGA-PBE level of DFT.

a b c (Å): 5.969 5.969 5.969
angles (deg): 90.00 90.00 90.00
Atoms (fractional coordinates):
Sr1 0.000 0.000 0.500
Sr2 0.000 0.500 0.000
Sr3 0.500 0.000 0.000
V1 0.000 0.000 0.000
Tc1 0.500 0.500 0.500

ΔH_f (0 K) = 7.4 eV per formula unit

11.
Computed, not measured: a relaxed structure of BaAg2SnPb at the GGA-PBE level of DFT.

a b c (Å): 4.746 4.952 12.298
angles (deg): 90.00 90.00 90.00
Atoms (fractional coordinates):
Ba1 0.000 0.000 0.000
Ba2 0.500 0.500 0.500
Ag1 0.000 0.000 0.617
Ag2 0.000 0.500 0.266
Ag3 0.500 0.000 0.766
Ag4 0.500 0.500 0.117
Sn1 0.000 0.000 0.392
Sn2 0.500 0.500 0.892
Pb1 0.000 0.500 0.738
Pb2 0.500 0.000 0.238

ΔH_f (0 K) = -1.4 eV per formula unit

12.
Computed, not measured: a relaxed structure of LiY2Rh at the GGA-PBE level of DFT.

a b c (Å): 3.460 3.460 7.451
angles (deg): 90.00 90.00 90.00
Atoms (fractional coordinates):
Li1 0.000 0.000 0.000
Y1 0.000 0.000 0.372
Y2 0.500 0.500 0.755
Rh1 0.500 0.500 0.143

ΔH_f (0 K) = -0.9 eV per formula unit

13.
Computed, not measured: a relaxed structure of Sm4CoGe at the GGA-PBE level of DFT.

a b c (Å): 6.186 6.708 8.187
angles (deg): 90.00 108.88 90.00
Atoms (fractional coordinates):
Sm1 0.010 0.000 0.224
Sm2 0.010 0.500 0.224
Sm3 0.414 0.250 0.616
Sm4 0.441 0.250 0.096
Sm5 0.559 0.750 0.904
Sm6 0.586 0.750 0.384
Sm7 0.990 0.000 0.776
Sm8 0.990 0.500 0.776
Co1 0.253 0.750 0.067
Co2 0.747 0.250 0.933
Ge1 0.207 0.750 0.550
Ge2 0.793 0.250 0.450

polymorph energy (0 for the lowest one) = 11 meV/atom
ΔH_f (0 K) = -1.9 eV per formula unit

14.
Computed, not measured: a relaxed structure of Al2SbOs at the GGA-PBE level of DFT.

a b c (Å): 3.292 4.468 5.074
angles (deg): 90.00 103.92 90.00
Atoms (fractional coordinates):
Al1 0.125 0.000 0.273
Al2 0.875 0.000 0.727
Sb1 0.500 0.500 0.000
Os1 0.000 0.500 0.500

formation energy (no corrections) = 0.298 eV/atom

15.
Computed, not measured: a relaxed structure of CdFeGe at the GGA-PBE level of DFT.

a b c (Å): 2.748 3.943 4.832
angles (deg): 90.00 90.00 90.00
Atoms (fractional coordinates):
Cd1 0.000 0.000 0.000
Fe1 0.500 0.000 0.500
Ge1 0.000 0.500 0.500

ΔH_f (0 K) = 0.2 eV per formula unit

16.
Computed, not measured: a relaxed structure of Rb3Pu2Cl8 at the GGA-PBE level of DFT.

a b c (Å): 9.139 9.139 7.630
angles (deg): 107.89 107.89 53.10
Atoms (fractional coordinates):
Rb1 0.000 0.000 0.000
Rb2 0.275 0.725 0.500
Rb3 0.725 0.275 0.500
Pu1 0.261 0.261 0.847
Pu2 0.739 0.739 0.153
Cl1 0.096 0.618 0.083
Cl2 0.140 0.140 0.490
Cl3 0.382 0.904 0.917
Cl4 0.389 0.389 0.697
Cl5 0.611 0.611 0.303
Cl6 0.618 0.096 0.083
Cl7 0.860 0.860 0.510
Cl8 0.904 0.382 0.917

formation energy (no corrections) = -1.880 eV/atom

17.
Computed, not measured: a relaxed structure of Pr8Nd2Mg at the GGA-PBE level of DFT.

a b c (Å): 8.368 8.368 6.094
angles (deg): 99.15 99.15 86.85
Atoms (fractional coordinates):
Pr1 0.078 0.078 0.290
Pr2 0.150 0.634 0.217
Pr3 0.232 0.232 0.913
Pr4 0.366 0.850 0.783
Pr5 0.634 0.150 0.217
Pr6 0.768 0.768 0.087
Pr7 0.850 0.366 0.783
Pr8 0.922 0.922 0.710
Nd1 0.362 0.362 0.511
Nd2 0.638 0.638 0.489
Mg1 0.500 0.500 0.000

polymorph energy (0 for the lowest one) = 253 meV/atom
ΔH_f (0 K) = 3.8 eV per formula unit

18.
Computed, not measured: a relaxed structure of Ce2MgUN5 at the GGA-PBE level of DFT.

a b c (Å): 7.036 7.036 10.519
angles (deg): 90.00 90.00 150.98
Atoms (fractional coordinates):
Ce1 0.105 0.895 0.500
Ce2 0.130 0.870 0.101
Ce3 0.870 0.130 0.601
Ce4 0.895 0.105 0.000
Mg1 0.478 0.522 0.279
Mg2 0.522 0.478 0.779
U1 0.213 0.787 0.818
U2 0.787 0.213 0.318
N1 0.066 0.934 0.860
N2 0.275 0.725 0.456
N3 0.299 0.701 0.186
N4 0.365 0.635 0.818
N5 0.493 0.507 0.583
N6 0.507 0.493 0.083
N7 0.635 0.365 0.318
N8 0.701 0.299 0.686
N9 0.725 0.275 0.956
N10 0.934 0.066 0.360

formation energy (no corrections) = -1.225 eV/atom

19.
Computed, not measured: a relaxed structure of Tm2PuUP4 at the GGA-PBE level of DFT.

a b c (Å): 6.820 3.941 6.859
angles (deg): 90.00 109.47 90.00
Atoms (fractional coordinates):
Tm1 0.000 0.000 0.000
Tm2 0.000 0.500 0.500
Pu1 0.500 0.000 0.500
U1 0.500 0.500 0.000
P1 0.251 0.000 0.754
P2 0.252 0.500 0.247
P3 0.748 0.500 0.753
P4 0.749 0.000 0.246

ΔH_f (0 K) = -10.5 eV per formula unit

20.
Computed, not measured: a relaxed structure of TaMoRu3 at the GGA-PBE level of DFT.

a b c (Å): 4.576 4.576 4.576
angles (deg): 90.00 90.00 90.00
Atoms (fractional coordinates):
Ta1 0.000 0.000 0.000
Mo1 0.500 0.500 0.500
Ru1 0.000 0.500 0.500
Ru2 0.500 0.000 0.500
Ru3 0.500 0.500 0.000

ΔH_f (0 K) = 7.7 eV per formula unit

21.
Computed, not measured: a relaxed structure of Hf2MgS4 at the GGA-PBE level of DFT.

a b c (Å): 14.012 3.570 6.170
angles (deg): 90.00 115.68 90.00
Atoms (fractional coordinates):
Hf1 0.244 0.000 0.232
Hf2 0.256 0.500 0.768
Hf3 0.744 0.500 0.232
Hf4 0.756 0.000 0.768
Mg1 0.000 0.500 0.500
Mg2 0.500 0.000 0.500
S1 0.124 0.500 0.955
S2 0.129 0.000 0.467
S3 0.371 0.500 0.533
S4 0.376 0.000 0.045
S5 0.624 0.000 0.955
S6 0.629 0.500 0.467
S7 0.871 0.000 0.533
S8 0.876 0.500 0.045

formation energy (no corrections) = -1.481 eV/atom
polymorph energy (0 for the lowest one) = 0 meV/atom

22.
Computed, not measured: a relaxed structure of ScTiI2N at the GGA-PBE level of DFT.

a b c (Å): 5.670 5.670 3.766
angles (deg): 90.00 90.00 90.00
Atoms (fractional coordinates):
Sc1 0.000 0.000 0.000
Ti1 0.500 0.500 0.500
I1 0.000 0.500 0.500
I2 0.500 0.000 0.500
N1 0.500 0.500 0.000

formation energy (no corrections) = -0.214 eV/atom
polymorph energy (0 for the lowest one) = 0 meV/atom

23.
Computed, not measured: a relaxed structure of ScAlAg3 at the GGA-PBE level of DFT.

a b c (Å): 6.537 6.537 6.537
angles (deg): 90.00 90.00 90.00
Atoms (fractional coordinates):
Sc1 0.000 0.000 0.500
Sc2 0.000 0.500 0.000
Sc3 0.500 0.000 0.000
Al1 0.000 0.500 0.500
Al2 0.500 0.000 0.500
Al3 0.500 0.500 0.000
Ag1 0.000 0.000 0.000
Ag2 0.274 0.274 0.274
Ag3 0.274 0.274 0.726
Ag4 0.274 0.726 0.274
Ag5 0.274 0.726 0.726
Ag6 0.726 0.274 0.274
Ag7 0.726 0.274 0.726
Ag8 0.726 0.726 0.274
Ag9 0.726 0.726 0.726

polymorph energy (0 for the lowest one) = 0 meV/atom
ΔH_f (0 K) = -1.1 eV per formula unit

24.
Computed, not measured: a relaxed structure of ZnSbAsI2 at the GGA-PBE level of DFT.

a b c (Å): 5.365 5.365 5.472
angles (deg): 90.00 90.00 90.00
Atoms (fractional coordinates):
Zn1 0.000 0.000 0.000
Sb1 0.000 0.000 0.500
As1 0.500 0.500 0.500
I1 0.000 0.500 0.000
I2 0.500 0.000 0.000

formation energy (no corrections) = 0.606 eV/atom
polymorph energy (0 for the lowest one) = 162 meV/atom

What are the E_tot values for these records? In order: -4.53 -4.59 -3.29 -2.65 -1.93 -6.61 -6.29 -5.14 -3.39 -3.42 -3.36 -5.77 -5.41 -5.41 -4.60 -5.44 -4.14 -8.60 -8.34 -8.57 -6.91 -5.34 -3.94 -2.02 eV per atom.